(1)
Li2Ta2VS6 (PBE-GGA, optimized geometry); uncorrected formation energy = -1102 meV per atom; total DFT energy (no corrections) = -6.686 eV per atom; space-group type = No. 12; Fermi-level density of states = 3.88 states/eV per cell
1.0
2.957 -5.184 0.000
2.957 5.184 0.000
-1.750 0.000 6.346
Li Ta V S
2 2 1 6
direct
0.178 0.822 0.000
0.822 0.178 0.000
0.359 0.641 0.500
0.641 0.359 0.500
0.000 0.000 0.500
0.061 0.400 0.724
0.241 0.241 0.246
0.400 0.061 0.724
0.600 0.939 0.276
0.759 0.759 0.754
0.939 0.600 0.276

=====

(2)
LiY2TaS6 (PBE-GGA, optimized geometry); uncorrected formation energy = -1519 meV per atom; total DFT energy (no corrections) = -6.665 eV per atom; space-group type = No. 146; Fermi-level density of states = 0.00 states/eV per cell
1.0
3.329 1.922 5.950
-3.329 1.922 5.950
0.000 -3.844 5.950
Li Y Ta S
1 2 1 6
direct
0.000 0.000 0.000
0.210 0.210 0.210
0.713 0.713 0.713
0.517 0.517 0.517
0.159 0.407 0.769
0.304 0.894 0.624
0.407 0.769 0.159
0.624 0.304 0.894
0.769 0.159 0.407
0.894 0.624 0.304

=====

(3)
LiZr2TaS6 (PBE-GGA, optimized geometry); uncorrected formation energy = -1282 meV per atom; total DFT energy (no corrections) = -6.844 eV per atom; space-group type = No. 146; Fermi-level density of states = 3.62 states/eV per cell
1.0
3.163 1.826 5.927
-3.163 1.826 5.927
0.000 -3.652 5.927
Li Zr Ta S
1 2 1 6
direct
0.000 0.000 0.000
0.179 0.179 0.179
0.683 0.683 0.683
0.514 0.514 0.514
0.114 0.420 0.757
0.276 0.918 0.590
0.420 0.757 0.114
0.590 0.276 0.918
0.757 0.114 0.420
0.918 0.590 0.276

=====

(4)
Li2ZrTa2S6 (PBE-GGA, optimized geometry); uncorrected formation energy = -1248 meV per atom; total DFT energy (no corrections) = -6.780 eV per atom; space-group type = No. 12; Fermi-level density of states = 4.54 states/eV per cell
1.0
3.050 -5.237 0.000
3.050 5.237 0.000
-1.701 0.000 6.377
Li Zr Ta S
2 1 2 6
direct
0.171 0.829 0.000
0.829 0.171 0.000
0.000 0.000 0.500
0.361 0.639 0.500
0.639 0.361 0.500
0.063 0.416 0.729
0.256 0.256 0.239
0.416 0.063 0.729
0.584 0.937 0.271
0.744 0.744 0.761
0.937 0.584 0.271

=====

(5)
LiTb3S4 (PBE-GGA, optimized geometry); uncorrected formation energy = -1967 meV per atom; total DFT energy (no corrections) = -6.006 eV per atom; polymorph energy (0 for the lowest one) = 0 meV/atom; space-group type = No. 221; Fermi-level density of states = 2.71 states/eV per cell
1.0
5.516 0.000 0.000
0.000 5.516 0.000
0.000 0.000 5.516
Li Tb S
1 3 4
direct
0.000 0.000 0.000
0.000 0.500 0.500
0.500 0.000 0.500
0.500 0.500 0.000
0.000 0.000 0.500
0.000 0.500 0.000
0.500 0.000 0.000
0.500 0.500 0.500

=====

(6)
LiTb6S5 (PBE-GGA, optimized geometry); uncorrected formation energy = -1572 meV per atom; total DFT energy (no corrections) = -5.767 eV per atom; space-group type = No. 193; Fermi-level density of states = 13.69 states/eV per cell
1.0
6.641 0.000 0.000
-3.320 5.751 0.000
0.000 0.000 13.762
Li Tb S
2 12 10
direct
0.000 0.000 0.250
0.000 0.000 0.750
0.000 0.338 0.115
0.000 0.338 0.385
0.000 0.662 0.615
0.000 0.662 0.885
0.338 0.000 0.115
0.338 0.000 0.385
0.338 0.338 0.615
0.338 0.338 0.885
0.662 0.000 0.615
0.662 0.000 0.885
0.662 0.662 0.115
0.662 0.662 0.385
0.000 0.340 0.750
0.000 0.660 0.250
0.333 0.667 0.000
0.333 0.667 0.500
0.340 0.000 0.750
0.340 0.340 0.250
0.660 0.000 0.250
0.660 0.660 0.750
0.667 0.333 0.000
0.667 0.333 0.500